# AcCuPb | the Open Quantum Materials Database | PBE | relaxed
# Relative energy among the computed polymorphs = 676.6 meV per atom
# Space-group type = F-43m
# Energy = -3.545 eV per atom
data_AcCuPb
_cell_length_a 5.2608
_cell_length_b 5.2608
_cell_length_c 5.2608
_cell_angle_alpha 60.00
_cell_angle_beta 60.00
_cell_angle_gamma 60.00
_space_group_name_H-M_alt 'P 1'
_space_group_IT_number 1
_space_group_name_Hall 'P 1'
loop_
_atom_site_label
_atom_site_fract_x
_atom_site_fract_y
_atom_site_fract_z
Ac1 0.0000 0.0000 0.0000
Cu1 0.7500 0.7500 0.7500
Pb1 0.2500 0.2500 0.2500

=====

# Hf2Os | the Open Quantum Materials Database | PBE | relaxed
# ΔE_f = 0.718 eV/atom
# Space-group type = Fd-3m
# Energy = -9.661 eV per atom
data_Hf2Os
_cell_length_a 5.4185
_cell_length_b 5.4185
_cell_length_c 5.4185
_cell_angle_alpha 60.00
_cell_angle_beta 60.00
_cell_angle_gamma 60.00
_space_group_name_H-M_alt 'P 1'
_space_group_IT_number 1
_space_group_name_Hall 'P 1'
loop_
_atom_site_label
_atom_site_fract_x
_atom_site_fract_y
_atom_site_fract_z
Hf1 0.0000 0.0000 0.0000
Hf2 0.0000 0.0000 0.5000
Hf3 0.0000 0.5000 0.0000
Hf4 0.5000 0.0000 0.0000
Os1 0.3750 0.3750 0.3750
Os2 0.6250 0.6250 0.6250

=====

# TmInSbTe3 | the Open Quantum Materials Database | PBE | relaxed
# Space-group type = Cmcm
# Energy = -4.003 eV per atom
data_TmInSbTe3
_cell_length_a 7.6587
_cell_length_b 7.6587
_cell_length_c 12.3042
_cell_angle_alpha 90.00
_cell_angle_beta 90.00
_cell_angle_gamma 147.64
_space_group_name_H-M_alt 'P 1'
_space_group_IT_number 1
_space_group_name_Hall 'P 1'
loop_
_atom_site_label
_atom_site_fract_x
_atom_site_fract_y
_atom_site_fract_z
Tm1 0.0000 0.0000 0.0000
Tm2 0.0000 0.0000 0.5000
In1 0.3081 0.6919 0.7500
In2 0.6919 0.3081 0.2500
Sb1 0.3524 0.6476 0.2500
Sb2 0.6476 0.3524 0.7500
Te1 0.0335 0.9665 0.2500
Te2 0.3552 0.6448 0.0055
Te3 0.3552 0.6448 0.4945
Te4 0.6448 0.3552 0.5055
Te5 0.6448 0.3552 0.9945
Te6 0.9665 0.0335 0.7500

=====

# BeHg2As | the Open Quantum Materials Database | PBE | relaxed
# Space-group type = F-43m
# Energy = -1.623 eV per atom
data_BeHg2As
_cell_length_a 4.8572
_cell_length_b 4.8572
_cell_length_c 4.8572
_cell_angle_alpha 60.00
_cell_angle_beta 60.00
_cell_angle_gamma 60.00
_space_group_name_H-M_alt 'P 1'
_space_group_IT_number 1
_space_group_name_Hall 'P 1'
loop_
_atom_site_label
_atom_site_fract_x
_atom_site_fract_y
_atom_site_fract_z
Be1 0.0000 0.0000 0.0000
Hg1 0.2500 0.2500 0.2500
Hg2 0.5000 0.5000 0.5000
As1 0.7500 0.7500 0.7500

=====

# LuSnAuO3 | the Open Quantum Materials Database | PBE | relaxed
# Space-group type = Cmcm
# Energy = -5.864 eV per atom
data_LuSnAuO3
_cell_length_a 5.4628
_cell_length_b 5.4628
_cell_length_c 8.2807
_cell_angle_alpha 90.00
_cell_angle_beta 90.00
_cell_angle_gamma 132.86
_space_group_name_H-M_alt 'P 1'
_space_group_IT_number 1
_space_group_name_Hall 'P 1'
loop_
_atom_site_label
_atom_site_fract_x
_atom_site_fract_y
_atom_site_fract_z
Lu1 0.0000 0.0000 0.0000
Lu2 0.0000 0.0000 0.5000
Sn1 0.3324 0.6676 0.7500
Sn2 0.6676 0.3324 0.2500
Au1 0.4061 0.5939 0.2500
Au2 0.5939 0.4061 0.7500
O1 0.1156 0.8844 0.2500
O2 0.1951 0.8049 0.5813
O3 0.1951 0.8049 0.9187
O4 0.8049 0.1951 0.0813
O5 0.8049 0.1951 0.4187
O6 0.8844 0.1156 0.7500

=====

# GdYCu6 | the Open Quantum Materials Database | PBE | relaxed
# ΔE_f = -0.180 eV/atom
# Space-group type = Pmm2
# Energy = -4.358 eV per atom
data_GdYCu6
_cell_length_a 4.2963
_cell_length_b 5.9351
_cell_length_c 5.2799
_cell_angle_alpha 90.00
_cell_angle_beta 90.00
_cell_angle_gamma 90.00
_space_group_name_H-M_alt 'P 1'
_space_group_IT_number 1
_space_group_name_Hall 'P 1'
loop_
_atom_site_label
_atom_site_fract_x
_atom_site_fract_y
_atom_site_fract_z
Gd1 0.0000 0.0000 0.0000
Y1 0.5000 0.5000 0.7443
Cu1 0.0000 0.2194 0.5035
Cu2 0.0000 0.5000 0.1433
Cu3 0.0000 0.7806 0.5035
Cu4 0.5000 0.0000 0.5954
Cu5 0.5000 0.2840 0.2413
Cu6 0.5000 0.7160 0.2413

=====

# Ta3Nb4Co6 | the Open Quantum Materials Database | PBE | relaxed
# ΔE_f = -0.222 eV/atom
# Relative energy among the computed polymorphs = 0.0 meV per atom
# Space-group type = R-3m
# Energy = -9.343 eV per atom
data_Ta3Nb4Co6
_cell_length_a 9.1404
_cell_length_b 9.1404
_cell_length_c 9.1404
_cell_angle_alpha 31.56
_cell_angle_beta 31.56
_cell_angle_gamma 31.56
_space_group_name_H-M_alt 'P 1'
_space_group_IT_number 1
_space_group_name_Hall 'P 1'
loop_
_atom_site_label
_atom_site_fract_x
_atom_site_fract_y
_atom_site_fract_z
Ta1 0.0000 0.0000 0.0000
Ta2 0.1665 0.1665 0.1665
Ta3 0.8335 0.8335 0.8335
Nb1 0.3465 0.3465 0.3465
Nb2 0.4502 0.4502 0.4502
Nb3 0.5498 0.5498 0.5498
Nb4 0.6535 0.6535 0.6535
Co1 0.0917 0.0917 0.5802
Co2 0.0917 0.5802 0.0917
Co3 0.4198 0.9083 0.9083
Co4 0.5802 0.0917 0.0917
Co5 0.9083 0.4198 0.9083
Co6 0.9083 0.9083 0.4198

=====

# NaPrHgSe3 | the Open Quantum Materials Database | PBE | relaxed
# Relative energy among the computed polymorphs = 16.9 meV per atom
# Space-group type = P2_1/m
# Energy = -3.903 eV per atom
data_NaPrHgSe3
_cell_length_a 8.1617
_cell_length_b 4.2544
_cell_length_c 10.1832
_cell_angle_alpha 90.00
_cell_angle_beta 103.56
_cell_angle_gamma 90.00
_space_group_name_H-M_alt 'P 1'
_space_group_IT_number 1
_space_group_name_Hall 'P 1'
loop_
_atom_site_label
_atom_site_fract_x
_atom_site_fract_y
_atom_site_fract_z
Na1 0.2419 0.2500 0.2563
Na2 0.7581 0.7500 0.7437
Pr1 0.3063 0.7500 0.8631
Pr2 0.6937 0.2500 0.1369
Hg1 0.0948 0.2500 0.6074
Hg2 0.9052 0.7500 0.3926
Se1 0.0432 0.2500 0.8542
Se2 0.2638 0.7500 0.5416
Se3 0.4463 0.7500 0.1553
Se4 0.5537 0.2500 0.8447
Se5 0.7362 0.2500 0.4584
Se6 0.9568 0.7500 0.1458

=====

# ReSnO3 | the Open Quantum Materials Database | PBE | relaxed
# Space-group type = Pnma
# Energy = -7.326 eV per atom
data_ReSnO3
_cell_length_a 5.5711
_cell_length_b 8.2168
_cell_length_c 5.5196
_cell_angle_alpha 90.00
_cell_angle_beta 90.00
_cell_angle_gamma 90.00
_space_group_name_H-M_alt 'P 1'
_space_group_IT_number 1
_space_group_name_Hall 'P 1'
loop_
_atom_site_label
_atom_site_fract_x
_atom_site_fract_y
_atom_site_fract_z
Re1 0.0000 0.0000 0.0000
Re2 0.0000 0.5000 0.0000
Re3 0.5000 0.0000 0.5000
Re4 0.5000 0.5000 0.5000
Sn1 0.0384 0.2500 0.4758
Sn2 0.4616 0.7500 0.9758
Sn3 0.5384 0.2500 0.0242
Sn4 0.9616 0.7500 0.5242
O1 0.0545 0.7500 0.9348
O2 0.2282 0.5096 0.2691
O3 0.2282 0.9904 0.2691
O4 0.2718 0.0096 0.7691
O5 0.2718 0.4904 0.7691
O6 0.4455 0.2500 0.4348
O7 0.5545 0.7500 0.5652
O8 0.7282 0.5096 0.2309
O9 0.7282 0.9904 0.2309
O10 0.7718 0.0096 0.7309
O11 0.7718 0.4904 0.7309
O12 0.9455 0.2500 0.0652

=====

# Fe3B2W | the Open Quantum Materials Database | PBE | relaxed
# Space-group type = Fmm2
# Energy = -8.770 eV per atom
data_Fe3B2W
_cell_length_a 5.2115
_cell_length_b 4.2194
_cell_length_c 4.3162
_cell_angle_alpha 75.25
_cell_angle_beta 51.53
_cell_angle_gamma 53.22
_space_group_name_H-M_alt 'P 1'
_space_group_IT_number 1
_space_group_name_Hall 'P 1'
loop_
_atom_site_label
_atom_site_fract_x
_atom_site_fract_y
_atom_site_fract_z
Fe1 0.0000 0.0000 0.0000
Fe2 0.5059 0.8418 0.1582
Fe3 0.8418 0.5059 0.4941
B1 0.4310 0.4310 0.0690
B2 0.9310 0.9310 0.5690
W1 0.3292 0.3292 0.6708

=====

# Li2BeNi | the Open Quantum Materials Database | PBE | relaxed
# Space-group type = F-43m
# Energy = -3.249 eV per atom
data_Li2BeNi
_cell_length_a 3.8905
_cell_length_b 3.8905
_cell_length_c 3.8905
_cell_angle_alpha 60.00
_cell_angle_beta 60.00
_cell_angle_gamma 60.00
_space_group_name_H-M_alt 'P 1'
_space_group_IT_number 1
_space_group_name_Hall 'P 1'
loop_
_atom_site_label
_atom_site_fract_x
_atom_site_fract_y
_atom_site_fract_z
Li1 0.0000 0.0000 0.0000
Li2 0.2500 0.2500 0.2500
Be1 0.5000 0.5000 0.5000
Ni1 0.7500 0.7500 0.7500

=====

# LuBNO | the Open Quantum Materials Database | PBE | relaxed
# Relative energy among the computed polymorphs = 0.0 meV per atom
# Space-group type = Pmc2_1
# Energy = -7.640 eV per atom
data_LuBNO
_cell_length_a 2.7855
_cell_length_b 5.9991
_cell_length_c 5.1199
_cell_angle_alpha 90.00
_cell_angle_beta 90.00
_cell_angle_gamma 90.00
_space_group_name_H-M_alt 'P 1'
_space_group_IT_number 1
_space_group_name_Hall 'P 1'
loop_
_atom_site_label
_atom_site_fract_x
_atom_site_fract_y
_atom_site_fract_z
Lu1 0.0000 0.2072 0.0000
Lu2 0.0000 0.7928 0.5000
B1 0.5000 0.2924 0.4710
B2 0.5000 0.7076 0.9710
N1 0.0000 0.1737 0.4844
N2 0.0000 0.8263 0.9844
O1 0.5000 0.4798 0.9496
O2 0.5000 0.5202 0.4496